No. 1
This record from Alexandria describes a relaxed Ac8Ru3RhCl4 crystal. The functional is PBE.

Output
The volume is 509.9 Å³/cell. Its space group is C2/m. The calculation puts the density at 7.699 Mg/m³. The value obtained for the density of states at the Fermi level is 8.4 states/eV/cell. The value obtained for the magnetization is 0.00 μB per atom. The formation energy from raw total energies is -16.184 eV/f.u.

Geometry as POSCAR:
```
Ac8Ru3RhCl4
1.0
7.4331 -4.2916 0.0000
7.4331 4.2916 0.0000
-4.9636 0.0000 7.9922
Ac Ru Rh Cl
8 3 1 4
Direct
0.2300 0.7365 0.7025 Ac
0.2346 0.2346 0.7033 Ac
0.2635 0.2635 0.2975 Ac
0.2635 0.7700 0.2975 Ac
0.7365 0.2300 0.7025 Ac
0.7365 0.7365 0.7025 Ac
0.7654 0.7654 0.2967 Ac
0.7700 0.2635 0.2975 Ac
0.0000 0.0000 0.5000 Ru
0.0000 0.5000 0.5000 Ru
0.5000 0.0000 0.5000 Ru
0.5000 0.5000 0.5000 Rh
0.0000 0.0000 0.0000 Cl
0.0000 0.5000 0.0000 Cl
0.5000 0.0000 0.0000 Cl
0.5000 0.5000 0.0000 Cl
```



No. 2
This record from Alexandria describes a relaxed Np3Ni2B2C3 crystal. The functional is PBE.

Output
The volume is 125.0 Å³/cell. Its space group is I4/mmm. Its formation energy is -0.17 eV/atom. The calculation puts the density at 11.773 Mg/m³. The value obtained for the density of states at the Fermi level is 16.1 states/eV/cell. The value obtained for the magnetization is 0.93 μB per atom.

Geometry as POSCAR:
```
Np3Ni2B2C3
1.0
-1.7576 1.7576 10.1143
1.7576 -1.7576 10.1143
1.7576 1.7576 -10.1143
Np Ni B C
3 2 2 3
Direct
0.0000 0.0000 0.0000 Np
0.3736 0.3736 0.0000 Np
0.6264 0.6264 0.0000 Np
0.2500 0.7500 0.5000 Ni
0.7500 0.2500 0.5000 Ni
0.1921 0.1921 0.0000 B
0.8079 0.8079 0.0000 B
0.1155 0.1155 0.0000 C
0.5000 0.5000 0.0000 C
0.8845 0.8845 0.0000 C
```



No. 3
This record from Alexandria describes a relaxed TaCd2Sb crystal. The functional is PBE.

Output
The volume is 86.3 Å³/cell. Its space group is Pmm2. The calculation puts the density at 10.146 Mg/m³. The value obtained for the density of states at the Fermi level is 1.7 states/eV/cell. The value obtained for the magnetization is 0.00 μB per atom. The formation energy from raw total energies is 1.175 eV/f.u.

Geometry as POSCAR:
```
TaCd2Sb
1.0
2.9933 0.0000 0.0000
0.0000 5.1763 0.0000
0.0000 0.0000 5.5723
Ta Cd Sb
1 2 1
Direct
0.0000 0.0000 0.0000 Ta
0.5000 0.0000 0.4990 Cd
0.5000 0.5000 0.7747 Cd
0.0000 0.5000 0.2477 Sb
```



No. 4
This record from Alexandria describes a relaxed LiPu2HfAs4 crystal. The functional is PBE.

Output
The volume is 179.3 Å³/cell. Its space group is P2/m. Its formation energy is -0.84 eV/atom. The calculation puts the density at 9.014 Mg/m³. The value obtained for the density of states at the Fermi level is 23.4 states/eV/cell. The value obtained for the magnetization is 1.15 μB per atom.

Geometry as POSCAR:
```
LiPu2HfAs4
1.0
6.7013 0.0000 0.0000
0.0000 4.0302 0.0000
-2.4296 0.0000 6.6378
Li Pu Hf As
1 2 1 4
Direct
0.0000 0.0000 0.0000 Li
0.5000 0.0000 0.5000 Pu
0.5000 0.5000 0.0000 Pu
0.0000 0.5000 0.5000 Hf
0.2348 0.0000 0.7406 As
0.2391 0.5000 0.2544 As
0.7609 0.5000 0.7456 As
0.7652 0.0000 0.2594 As
```



No. 5
This record from Alexandria describes a relaxed Tb2YTh2 crystal. The functional is PBE.

Output
The volume is 643.1 Å³/cell. Its space group is P2_1/c. Its formation energy is 0.04 eV/atom. The calculation puts the density at 8.994 Mg/m³. The value obtained for the density of states at the Fermi level is 26.9 states/eV/cell. The value obtained for the magnetization is 0.00 μB per atom. As for the offset from the most stable computed form: 0.000 eV/f.u.

Geometry as POSCAR:
```
Tb2YTh2
1.0
14.6495 0.0000 0.0000
0.0000 7.1434 0.0000
-0.8826 0.0000 6.1458
Tb Y Th
8 4 8
Direct
0.0979 0.1236 0.4489 Tb
0.0979 0.3764 0.9489 Tb
0.3044 0.1226 0.8526 Tb
0.3044 0.3774 0.3526 Tb
0.6956 0.6226 0.6474 Tb
0.6956 0.8774 0.1474 Tb
0.9021 0.6236 0.0511 Tb
0.9021 0.8764 0.5511 Tb
0.3018 0.6269 0.8497 Y
0.3018 0.8731 0.3497 Y
0.6982 0.1269 0.6503 Y
0.6982 0.3731 0.1503 Y
0.0979 0.6291 0.4510 Th
0.0979 0.8709 0.9510 Th
0.4997 0.1242 0.2526 Th
0.4997 0.3758 0.7526 Th
0.5003 0.6242 0.2474 Th
0.5003 0.8758 0.7474 Th
0.9021 0.1291 0.0490 Th
0.9021 0.3709 0.5490 Th
```



No. 6
This record from Alexandria describes a relaxed Er2GeAu crystal. The functional is PBE.

Output
The volume is 90.1 Å³/cell. Its space group is P4/mmm. Its formation energy is -0.77 eV/atom. The calculation puts the density at 11.140 Mg/m³. The value obtained for the density of states at the Fermi level is 1.6 states/eV/cell. The value obtained for the magnetization is 0.00 μB per atom.

Geometry as POSCAR:
```
Er2GeAu
1.0
3.5603 0.0000 0.0000
0.0000 3.5603 0.0000
0.0000 0.0000 7.1047
Er Ge Au
2 1 1
Direct
0.0000 0.0000 0.2466 Er
0.0000 0.0000 0.7534 Er
0.5000 0.5000 0.0000 Ge
0.5000 0.5000 0.5000 Au
```



No. 7
This record from Alexandria describes a relaxed RbNiPb3 crystal. The functional is PBE.

Output
The volume is 229.9 Å³/cell. Its space group is Pm-3m. Its formation energy is 1.73 eV/atom. The calculation puts the density at 5.532 Mg/m³. The value obtained for the density of states at the Fermi level is 10.2 states/eV/cell. The value obtained for the magnetization is 0.00 μB per atom. As for the offset from the most stable computed form: 8.070 eV/f.u.

Geometry as POSCAR:
```
RbNiPb3
1.0
6.1257 0.0000 0.0000
0.0000 6.1257 0.0000
0.0000 0.0000 6.1257
Rb Ni Pb
1 1 3
Direct
0.0000 0.0000 0.0000 Rb
0.5000 0.5000 0.5000 Ni
0.0000 0.0000 0.5000 Pb
0.0000 0.5000 0.0000 Pb
0.5000 0.0000 0.0000 Pb
```



No. 8
This record from Alexandria describes a relaxed BeSbOsI2 crystal. The functional is PBE.

Output
The volume is 156.0 Å³/cell. Its space group is P4/mmm. The calculation puts the density at 6.118 Mg/m³. The value obtained for the density of states at the Fermi level is 6.1 states/eV/cell. The value obtained for the magnetization is 0.00 μB per atom. The formation energy from raw total energies is 5.732 eV/f.u. As for the offset from the most stable computed form: 0.000 eV/f.u.

Geometry as POSCAR:
```
BeSbOsI2
1.0
5.5733 0.0000 0.0000
0.0000 5.5733 0.0000
0.0000 0.0000 5.0229
Be Sb Os I
1 1 1 2
Direct
0.0000 0.0000 0.0000 Be
0.5000 0.5000 0.0000 Sb
0.5000 0.5000 0.5000 Os
0.0000 0.5000 0.5000 I
0.5000 0.0000 0.5000 I
```